w | The following is a DFT calculation (PBE) of an optimized crystal structure of ScTa2Cl.

Output
Fermi-level density of states: 6.29 states/eV/f.u.
space group: R-3m (166)

abc: 9.555 9.555 9.555
angles: 18.36 18.36 18.36
Element x y z (fractional)
Sc 0.000 0.000 0.000
Ta 0.244 0.244 0.244
Ta 0.756 0.756 0.756
Cl 0.500 0.500 0.500

x | The following is a DFT calculation (PBE) of an optimized crystal structure of ScTa2Cl.

Output
Fermi-level density of states: 4.63 states/eV/f.u.
space group: I-4m2 (119)

abc: 5.021 5.021 5.021
angles: 128.28 128.28 76.17
Element x y z (fractional)
Sc 0.000 0.000 0.000
Ta 0.250 0.750 0.500
Ta 0.500 0.500 0.000
Cl 0.750 0.250 0.500

Which of them is the least stable? Correct choice: x.

w | The following is a DFT calculation (PBE) of an optimized crystal structure of Ba2LaRe.

Output
Fermi-level density of states: 6.85 states/eV/f.u.
space group: Cmmm (65)

abc: 6.640 6.640 3.325
angles: 90.00 90.00 121.25
Element x y z (fractional)
Ba 0.000 0.500 0.000
Ba 0.500 0.000 0.000
La 0.000 0.000 0.500
Re 0.500 0.500 0.500

x | The following is a DFT calculation (PBE) of an optimized crystal structure of Ba2LaRe.

Output
Fermi-level density of states: 4.33 states/eV/f.u.
space group: P2/m (10)

abc: 5.338 4.100 8.615
angles: 90.00 107.92 90.00
Element x y z (fractional)
Ba 0.150 0.000 0.300
Ba 0.850 0.000 0.700
La 0.500 0.500 0.000
Re 0.000 0.500 0.000

Which of them is the least stable? Correct choice: w.